# MgScWO6 | Alexandria | PBE with a Hubbard U | optimized geometry
data_MgScWO6
_space_group_name_H-M_alt 'P 1'
_space_group_IT_number 1
_space_group_name_Hall 'P 1'
_cell_length_a 4.461
_cell_length_b 5.290
_cell_length_c 5.290
_cell_angle_alpha 120.00
_cell_angle_beta 90.00
_cell_angle_gamma 90.00
loop_
_atom_site_label
_atom_site_fract_x
_atom_site_fract_y
_atom_site_fract_z
O1 0.264 0.688 0.998
O2 0.264 0.310 0.312
O3 0.736 0.310 0.998
O4 0.264 0.002 0.690
O5 0.736 0.002 0.312
O6 0.736 0.688 0.690
W1 0.500 0.000 0.000
Sc1 0.500 0.667 0.333
Mg1 0.000 0.333 0.667
# Total energy (eV/atom): -7.33
# Magnetization (μB/f.u.): 1.03
# SG: No. 149